Li2ScFeSi4O12 after structural relaxation, computed with PBE with a Hubbard U.

Its magnetic moment is 4.90 μB/cell. The density is 3.1 g/cm3.

a = 6.6640 Å, b = 6.6640 Å, c = 5.3895 Å
α = 105.17°, β = 105.17°, γ = 84.09°
Positions (direct):
Li: 0.0000 0.0000 0.0000
Li: 0.5046 0.4954 0.5000
Sc: 0.3578 0.6422 0.0000
Fe: 0.1476 0.8524 0.5000
Si: 0.0464 0.3587 0.4755
Si: 0.4643 0.1289 0.0208
Si: 0.6413 0.9536 0.5245
Si: 0.8711 0.5357 0.9792
O: 0.0496 0.7146 0.1044
O: 0.1374 0.1201 0.4137
O: 0.2192 0.5427 0.5886
O: 0.2854 0.9504 0.8956
O: 0.3738 0.3655 0.0871
O: 0.4573 0.7808 0.4114
O: 0.6087 0.0934 0.3059
O: 0.6120 0.0998 0.8112
O: 0.6345 0.6262 0.9129
O: 0.8799 0.8626 0.5863
O: 0.9002 0.3880 0.1888
O: 0.9066 0.3913 0.6941



LiFeSe4O10 after structural relaxation, computed with PBE with a Hubbard U.

Its magnetic moment is 9.99 μB/cell. The density is 4.0 g/cm3.

a = 6.0930 Å, b = 6.9269 Å, c = 10.4782 Å
α = 90.00°, β = 90.00°, γ = 90.00°
Positions (direct):
Li: 0.0000 0.0000 0.0000
Li: 0.0000 0.5000 0.5000
Fe: 0.5000 0.0000 0.8752
Fe: 0.5000 0.5000 0.3752
Se: 0.2170 0.1350 0.2777
Se: 0.2170 0.3650 0.7777
Se: 0.2806 0.6388 0.0872
Se: 0.2806 0.8612 0.5872
Se: 0.7194 0.1388 0.5872
Se: 0.7194 0.3612 0.0872
Se: 0.7830 0.6350 0.7777
Se: 0.7830 0.8650 0.2777
O: 0.0000 0.0000 0.3703
O: 0.0000 0.5000 0.8703
O: 0.0796 0.2052 0.1470
O: 0.0796 0.2948 0.6470
O: 0.2195 0.1592 0.8724
O: 0.2195 0.3408 0.3724
O: 0.3167 0.6482 0.5073
O: 0.3167 0.8518 0.0073
O: 0.4051 0.6869 0.2312
O: 0.4051 0.8131 0.7312
O: 0.5000 0.0000 0.5039
O: 0.5000 0.5000 0.0039
O: 0.5949 0.1869 0.7312
O: 0.5949 0.3131 0.2312
O: 0.6833 0.1482 0.0073
O: 0.6833 0.3518 0.5073
O: 0.7805 0.6592 0.3724
O: 0.7805 0.8408 0.8724
O: 0.9204 0.7052 0.6470
O: 0.9204 0.7948 0.1470



Li2FeSeO after structural relaxation, computed with PBE with a Hubbard U.

The value obtained for the energy above the lowest structure with this stoichiometry is 1621 meV per atom. Its magnetic moment is 4.00 μB/cell. The density is 2.9 g/cm3.

a = 4.8001 Å, b = 4.8001 Å, c = 4.0661 Å
α = 90.00°, β = 90.00°, γ = 90.00°
Positions (direct):
Li: 0.0000 0.5000 0.0000
Li: 0.5000 0.0000 0.0000
Fe: 0.0000 0.0000 0.5000
Se: 0.5000 0.5000 0.0000
O: 0.5000 0.5000 0.5000



no.,raw total energy (eV/atom),volume (Å³ per atom)
1,-7.5044,11.1
2,-5.4637,13.8
3,-3.2887,18.7